Record 1
LaPm3In4 | PBE | relaxed

```
LaPm3In4
1.0
-2.078 4.693 -1.943
-3.326 -3.881 -5.814
-8.994 -1.451 6.114
In Pm La
8 6 2
Cartesian
-7.567 -2.015 3.157
-6.348 0.674 0.666
-6.831 1.376 -4.801
-5.129 3.362 -1.826
-8.050 -1.312 -2.310
-9.269 -4.000 0.182
-1.851 1.399 -2.391
-3.553 -0.587 -5.366
-4.497 -0.725 3.057
-3.280 1.967 0.564
-9.454 -0.666 0.700
-4.944 0.028 -2.344
-7.792 1.275 3.607
0.000 0.000 0.000
-1.663 -1.940 -2.907
-6.160 -2.666 0.150
```

Calculated values
The value obtained for the volume is 29.1 Å³/atom. As for the total magnetization: 0.0 μB/f.u. The calculation puts the density of states at the Fermi level at 0.494 states/eV per atom. The calculation puts the formation energy at -0.4997 eV/atom.

***

Record 2
BeTe3 | PBE | relaxed

```
BeTe3
1.0
5.895 0.000 0.000
0.000 5.895 0.000
0.000 0.000 5.895
Te Be
6 2
Cartesian
0.000 4.421 2.948
2.948 0.000 4.421
2.948 0.000 1.474
0.000 1.474 2.948
4.421 2.948 0.000
1.474 2.948 0.000
2.948 2.948 2.948
0.000 0.000 0.000
```

Calculated values
The value obtained for the volume is 25.6 Å³/atom. For the formation energy from raw total energies, the calculation gives 0.84 eV/atom. As for the total magnetization: 0.0 μB/f.u. The calculation puts the density of states at the Fermi level at 1.241 states/eV per atom.

***

Record 3
ScSb2Mo | PBE | relaxed

```
ScSb2Mo
1.0
3.667 0.000 0.000
0.000 3.667 0.000
0.000 0.000 6.265
Sb Sc Mo
2 1 1
Cartesian
1.833 1.833 1.794
0.000 0.000 5.975
0.000 0.000 3.071
1.833 1.833 4.821
```

Calculated values
The value obtained for the volume is 21.1 Å³/atom. For the formation energy from raw total energies, the calculation gives -0.20 eV/atom. As for the total magnetization: 0.0 μB/f.u. The calculation puts the density of states at the Fermi level at 0.593 states/eV per atom.

***

Record 4
Ta2FeRe | PBE | relaxed

```
Ta2FeRe
1.0
-4.523 4.740 5.162
-6.434 2.458 4.705
-4.285 2.226 6.801
Fe Ta Re
1 2 1
Cartesian
-3.810 2.356 4.167
-15.183 9.388 16.604
-7.679 4.748 8.397
-11.431 7.068 12.501
```

Calculated values
The value obtained for the volume is 16.0 Å³/atom. As for the total magnetization: 0.9 μB/f.u. The calculation puts the density of states at the Fermi level at 0.589 states/eV per atom. The calculation puts the formation energy at 0.1493 eV/atom.

***

Record 5
LaReHg2 | PBE | relaxed

```
LaReHg2
1.0
-1.845 2.577 -0.218
-2.290 -1.504 1.609
3.294 2.991 7.484
Re Hg La
1 2 1
Cartesian
0.403 2.780 6.309
3.183 2.890 7.232
1.758 1.596 3.995
-1.244 1.284 2.567
```

Calculated values
The value obtained for the volume is 22.0 Å³/atom. As for the total magnetization: 1.2 μB/f.u. The calculation puts the density of states at the Fermi level at 0.892 states/eV per atom. The calculation puts the formation energy at 0.5093 eV/atom.

***

Record 6
MgSnSN2 | PBE | relaxed

```
MgSnSN2
1.0
-2.573 -0.566 -3.073
2.978 -1.648 -2.190
-1.274 -4.927 1.974
N S Mg Sn
2 1 1 1
Cartesian
-1.286 -0.283 -1.537
1.489 -0.824 -1.095
-0.637 -2.463 0.987
-0.434 -3.570 -1.645
0.000 0.000 0.000
```

Calculated values
The value obtained for the volume is 17.9 Å³/atom. For the formation energy from raw total energies, the calculation gives 0.79 eV/atom. As for the total magnetization: 1.7 μB/f.u. The calculation puts the density of states at the Fermi level at 0.719 states/eV per atom.

***

Record 7
Lu2NbPd | PBE | relaxed

```
Lu2NbPd
1.0
3.311 0.000 0.000
0.000 3.311 0.000
0.000 0.000 7.838
Lu Nb Pd
2 1 1
Cartesian
0.000 0.000 1.778
0.000 0.000 6.060
1.656 1.656 3.919
1.656 1.656 0.000
```

Calculated values
The value obtained for the volume is 21.5 Å³/atom. As for the total magnetization: 0.0 μB/f.u. The calculation puts the density of states at the Fermi level at 1.145 states/eV per atom. The calculation puts the formation energy at -0.3143 eV/atom.

***

Record 8
RbMn2N | PBE | relaxed

```
RbMn2N
1.0
6.401 0.000 0.000
0.000 6.401 0.000
3.200 3.200 4.528
N Mn Rb
2 4 2
Cartesian
3.200 3.200 0.000
3.200 6.401 2.264
3.200 4.801 1.132
3.200 1.600 1.132
4.801 6.401 3.396
8.001 6.401 3.396
6.401 3.200 2.264
0.000 0.000 0.000
```

Calculated values
The value obtained for the volume is 23.2 Å³/atom. For the formation energy from raw total energies, the calculation gives 0.25 eV/atom. As for the total magnetization: 8.0 μB/f.u. The calculation puts the density of states at the Fermi level at 0.693 states/eV per atom.